Computed, not measured: a relaxed PmCu4P3 crystal at the PBE level of DFT.

Values from the calculation:
**E_tot**: -41.0 eV/cell
**SG**: P4/mmm

Cell: 4.005 4.005 7.556 Å, 90.00 90.00 90.00°
Atoms (fractional coordinates):
Cu (0.500, 0.000, 0.823)
Cu (0.500, 0.000, 0.177)
Cu (0.000, 0.500, 0.823)
Cu (0.000, 0.500, 0.177)
P (0.000, 0.000, 0.000)
P (0.500, 0.500, 0.348)
P (0.500, 0.500, 0.652)
Pm (0.000, 0.000, 0.500)



Computed, not measured: a relaxed PmCuPPt2 crystal at the PBE level of DFT.

Values from the calculation:
**E_tot**: -30.6 eV/cell
**SG**: Imm2

Cell: 4.045 3.979 6.176 Å, 108.79 109.12 90.00°
Atoms (fractional coordinates):
Pt (0.035, 0.035, 0.071)
Pt (0.708, 0.208, 0.417)
Cu (0.203, 0.703, 0.406)
P (0.823, 0.823, 0.646)
Pm (0.442, 0.442, 0.884)



Computed, not measured: a relaxed Pm3CuP2Pt9 crystal at the PBE level of DFT.

Values from the calculation:
**E_tot**: -95.0 eV/cell
**SG**: P-3m1

Cell: 5.729 5.729 10.539 Å, 90.00 90.00 120.00°
Atoms (fractional coordinates):
Pt (0.675, 0.838, 0.313)
Pt (0.838, 0.675, 0.687)
Pt (0.162, 0.838, 0.313)
Pt (0.325, 0.162, 0.687)
Pt (0.162, 0.325, 0.313)
Pt (0.838, 0.162, 0.687)
Pt (0.500, 0.500, 0.000)
Pt (0.000, 0.500, 0.000)
Pt (0.500, 0.000, 0.000)
Cu (0.000, 0.000, 0.500)
Pm (0.333, 0.667, 0.583)
Pm (0.000, 0.000, 0.000)
Pm (0.667, 0.333, 0.417)
P (0.333, 0.667, 0.162)
P (0.667, 0.333, 0.838)



Computed, not measured: a relaxed PmPuCuP crystal at the PBE level of DFT.

Values from the calculation:
**E_tot**: -30.5 eV/cell
**SG**: F-43m

Cell: 4.957 4.957 4.957 Å, 60.00 60.00 60.00°
Each line ends with the local moment (μB).
Atoms (fractional coordinates):
Cu (0.250, 0.250, 0.250)  0.06
Pu (0.000, 0.000, 0.000)  5.58
Pm (0.500, 0.500, 0.500)  0.43
P (0.750, 0.750, 0.750)  -0.06



Computed, not measured: a relaxed Pm2CuP4Rh3 crystal at the PBE level of DFT.

Values from the calculation:
**E_tot**: -67.2 eV/cell
**SG**: P-4m2

Cell: 4.181 4.181 9.513 Å, 90.00 90.00 90.00°
Atoms (fractional coordinates):
P (0.500, 0.500, 0.000)
P (0.000, 0.500, 0.364)
P (0.000, 0.000, 0.000)
P (0.500, 0.000, 0.636)
Pm (0.500, 0.000, 0.245)
Pm (0.000, 0.500, 0.755)
Rh (0.000, 0.000, 0.500)
Rh (0.500, 0.000, 0.888)
Rh (0.000, 0.500, 0.112)
Cu (0.500, 0.500, 0.500)



Computed, not measured: a relaxed PmCu2PRh crystal at the PBE level of DFT.

Values from the calculation:
**E_tot**: -28.8 eV/cell
**SG**: Imm2

Cell: 3.886 4.018 5.953 Å, 109.72 109.05 90.00°
Atoms (fractional coordinates):
Pm (0.440, 0.440, 0.880)
P (0.826, 0.826, 0.652)
Cu (0.696, 0.196, 0.393)
Cu (0.046, 0.046, 0.093)
Rh (0.204, 0.704, 0.407)